No. 1
This record from Alexandria describes an optimized crystal structure of VCd3Ge. The functional is PBE.

Values from the calculation:
Spin magnetization, μB per cell: 2.96
E_tot, eV for the cell shown: -11.7
Calculated volume, A^3/atom: 28.5

abc: 5.2257 5.2257 5.2257
angles: 90.00 90.00 90.00
Last column: nearest neighbours and their distance in Å.
Fractional coordinates of all 5 atoms:
V 0.0000 0.0000 0.0000  6 Cd 2.61
Cd 0.0000 0.0000 0.5000  2 V 2.61
Cd 0.0000 0.5000 0.0000  2 V 2.61
Cd 0.5000 0.0000 0.0000  2 V 2.61
Ge 0.5000 0.5000 0.5000  12 Cd 3.70



No. 2
This record from Alexandria describes an optimized crystal structure of Y2IF. The functional is PBE.

Values from the calculation:
Spin magnetization, μB per cell: 0.00
Raw formation energy, eV per atom: -1.3981
Calculated volume, A^3/atom: 25.5

abc: 6.4505 6.4505 6.4505
angles: 105.87 105.87 116.95
Last column: nearest neighbours and their distance in Å.
Fractional coordinates of all 8 atoms:
Y 0.0087 0.6250 0.8837  2 F 2.36
Y 0.3750 0.2587 0.3837  2 F 2.36
Y 0.7413 0.1250 0.1163  2 F 2.36
Y 0.8750 0.9913 0.6163  2 F 2.36
I 0.2500 0.7500 0.5000  8 Y 3.36-3.55, 2 F 3.37
I 0.5000 0.5000 0.0000  8 Y 3.36-3.55, 2 F 3.37
F 0.0000 0.0000 0.0000  4 Y 2.36
F 0.7500 0.2500 0.5000  4 Y 2.36